# 1
First-principles (PBE-GGA) data for crystalline Ce2H5Pt5 at its relaxed geometry, as listed in the Alexandria database.

## Properties
D(E_F): 10.35 states/eV/cell
calculated density: 12.134 g/cm3
DFT total energy: -5.275 eV/atom

Cell: 4.6813 7.5711 5.0441 Å, 90.00 105.20 90.00°
Element x y z (fractional)
1 Ce 0.0000 0.0000 0.0000
2 Ce 0.5000 0.5000 0.0000
3 H 0.0000 0.3279 0.0000
4 H 0.0000 0.5000 0.5000
5 H 0.0000 0.6721 0.0000
6 H 0.5000 0.0531 0.0000
7 H 0.5000 0.9469 0.0000
8 Pt 0.2121 0.3092 0.3528
9 Pt 0.2121 0.6908 0.3528
10 Pt 0.5000 0.0000 0.5000
11 Pt 0.7879 0.3092 0.6472
12 Pt 0.7879 0.6908 0.6472


# 2
First-principles (PBE-GGA) data for crystalline NaCaLaAl at its relaxed geometry, as listed in the Alexandria database.

## Properties
D(E_F): 3.40 states/eV/cell
calculated density: 3.176 g/cm3
ΔH_f (0 K): -0.079 eV/atom
DFT total energy: -3.077 eV/atom

Cell: 5.5319 5.5319 5.5319 Å, 60.00 60.00 60.00°
Element x y z (fractional)
1 Na 0.0000 0.0000 0.0000
2 Ca 0.7500 0.7500 0.7500
3 La 0.2500 0.2500 0.2500
4 Al 0.5000 0.5000 0.5000


# 3
First-principles (PBE-GGA) data for crystalline Tb14CePu at its relaxed geometry, as listed in the Alexandria database.

## Properties
D(E_F): 26.98 states/eV/cell
calculated density: 8.573 g/cm3
ΔH_f (0 K): 0.052 eV/atom
DFT total energy: -5.266 eV/atom

Cell: 7.1011 7.1011 10.0219 Å, 90.00 90.00 90.00°
Element x y z (fractional)
1 Tb 0.0000 0.0000 0.0000
2 Tb 0.0000 0.5000 0.0000
3 Tb 0.0000 0.5000 0.5000
4 Tb 0.2494 0.2494 0.2527
5 Tb 0.2494 0.2494 0.7473
6 Tb 0.2494 0.7506 0.2527
7 Tb 0.2494 0.7506 0.7473
8 Tb 0.5000 0.0000 0.0000
9 Tb 0.5000 0.0000 0.5000
10 Tb 0.5000 0.5000 0.0000
11 Tb 0.7506 0.2494 0.2527
12 Tb 0.7506 0.2494 0.7473
13 Tb 0.7506 0.7506 0.2527
14 Tb 0.7506 0.7506 0.7473
15 Ce 0.5000 0.5000 0.5000
16 Pu 0.0000 0.0000 0.5000


# 4
First-principles (PBE-GGA) data for crystalline AgPHO4 at its relaxed geometry, as listed in the Alexandria database.

## Properties
D(E_F): 2.87 states/eV/cell
calculated density: 4.310 g/cm3
DFT total energy: -5.482 eV/atom

Cell: 4.8421 4.8421 4.8421 Å, 121.37 121.37 87.64°
Element x y z (fractional)
1 Ag 0.0000 0.0000 0.0000
2 P 0.2500 0.7500 0.5000
3 H 0.5000 0.5000 0.0000
4 O 0.2409 0.6363 0.1275
5 O 0.3637 0.4912 0.6046
6 O 0.5088 0.1135 0.8725
7 O 0.8865 0.7591 0.3954


# 5
First-principles (PBE-GGA) data for crystalline Mn2TlPtW at its relaxed geometry, as listed in the Alexandria database.

## Properties
D(E_F): 4.50 states/eV/cell
calculated density: 10.143 g/cm3
ΔH_f (0 K): 2.004 eV/atom
DFT total energy: -5.936 eV/atom

Cell: 4.7826 4.7826 4.9612 Å, 90.00 90.00 90.00°
Element x y z (fractional)
1 Mn 0.0000 0.5000 0.0000
2 Mn 0.5000 0.0000 0.0000
3 Tl 0.0000 0.0000 0.0000
4 Pt 0.0000 0.0000 0.5000
5 W 0.5000 0.5000 0.5000


# 6
First-principles (PBE-GGA) data for crystalline Na2Tl2Pb7 at its relaxed geometry, as listed in the Alexandria database.

## Properties
D(E_F): 5.42 states/eV/cell
calculated density: 8.964 g/cm3
ΔH_f (0 K): -0.017 eV/atom
DFT total energy: -3.047 eV/atom

Cell: 9.2562 9.2562 9.2562 Å, 150.46 74.31 113.61°
Element x y z (fractional)
1 Na 0.1545 0.0000 0.1545
2 Na 0.8455 0.0000 0.8455
3 Tl 0.5050 0.0050 0.5000
4 Tl 0.7582 0.7582 0.0000
5 Pb 0.0838 0.7497 0.3342
6 Pb 0.2565 0.2565 0.0000
7 Pb 0.3300 0.4997 0.8302
8 Pb 0.4155 0.7497 0.6658
9 Pb 0.5764 0.2480 0.3284
10 Pb 0.6695 0.4997 0.1698
11 Pb 0.9196 0.2480 0.6716


# 7
First-principles (PBE-GGA) data for crystalline CsRb2NaSb at its relaxed geometry, as listed in the Alexandria database.

## Properties
D(E_F): 6.42 states/eV/cell
calculated density: 2.017 g/cm3
DFT total energy: -1.720 eV/atom

Cell: 7.1468 7.1468 7.2304 Å, 90.00 90.00 90.00°
Element x y z (fractional)
1 Cs 0.0000 0.0000 0.0000
2 Rb 0.0000 0.5000 0.5000
3 Rb 0.5000 0.0000 0.5000
4 Na 0.5000 0.5000 0.0000
5 Sb 0.0000 0.0000 0.5000


# 8
First-principles (PBE-GGA) data for crystalline AcMgRh2 at its relaxed geometry, as listed in the Alexandria database.

## Properties
D(E_F): 2.32 states/eV/cell
calculated density: 9.321 g/cm3
ΔH_f (0 K): -0.394 eV/atom
DFT total energy: -5.495 eV/atom

Cell: 3.4661 3.4661 6.7788 Å, 90.00 90.00 90.00°
Element x y z (fractional)
1 Ac 0.0000 0.0000 0.0000
2 Mg 0.0000 0.0000 0.5000
3 Rh 0.5000 0.5000 0.2872
4 Rh 0.5000 0.5000 0.7128


# 9
First-principles (PBE-GGA) data for crystalline Ho8HgBi2 at its relaxed geometry, as listed in the Alexandria database.

## Properties
D(E_F): 11.90 states/eV/cell
calculated density: 9.949 g/cm3
ΔH_f (0 K): -0.325 eV/atom
DFT total energy: -4.388 eV/atom

Cell: 9.3952 9.3952 6.9755 Å, 93.33 93.33 31.76°
Element x y z (fractional)
1 Ho 0.0307 0.0307 0.2474
2 Ho 0.2122 0.2122 0.1178
3 Ho 0.3367 0.3367 0.5932
4 Ho 0.4093 0.4093 0.0605
5 Ho 0.5907 0.5907 0.9395
6 Ho 0.6633 0.6633 0.4068
7 Ho 0.7878 0.7878 0.8822
8 Ho 0.9693 0.9693 0.7526
9 Hg 0.5000 0.5000 0.5000
10 Bi 0.1598 0.1598 0.6712
11 Bi 0.8402 0.8402 0.3288


# 10
First-principles (PBE-GGA) data for crystalline SiAu at its relaxed geometry, as listed in the Alexandria database.

## Properties
D(E_F): 1.39 states/eV/cell
calculated density: 10.675 g/cm3
DFT total energy: -4.242 eV/atom

Cell: 4.2220 3.5564 5.0381 Å, 90.00 112.25 90.00°
Element x y z (fractional)
1 Si 0.1573 0.2500 0.4295
2 Si 0.8427 0.7500 0.5705
3 Au 0.3148 0.7500 0.1203
4 Au 0.6852 0.2500 0.8797


# 11
First-principles (PBE-GGA) data for crystalline BaHfSi2Bi at its relaxed geometry, as listed in the Alexandria database.

## Properties
D(E_F): 5.26 states/eV/cell
calculated density: 5.654 g/cm3
DFT total energy: -4.402 eV/atom

Cell: 5.5636 5.5636 5.5128 Å, 90.00 90.00 90.00°
Element x y z (fractional)
1 Ba 0.0000 0.0000 0.0000
2 Hf 0.5000 0.5000 0.0000
3 Si 0.0000 0.5000 0.5000
4 Si 0.5000 0.0000 0.5000
5 Bi 0.5000 0.5000 0.5000


# 12
First-principles (PBE-GGA) data for crystalline Pr6Sm2Dy3Tl at its relaxed geometry, as listed in the Alexandria database.

## Properties
D(E_F): 13.94 states/eV/cell
calculated density: 7.630 g/cm3
ΔH_f (0 K): -0.020 eV/atom
DFT total energy: -4.544 eV/atom

Cell: 6.2705 6.2705 11.9546 Å, 95.06 95.06 120.16°
Element x y z (fractional)
1 Pr 0.0832 0.4102 0.7502
2 Pr 0.2433 0.2433 0.2486
3 Pr 0.4102 0.0832 0.7502
4 Pr 0.5898 0.9168 0.2498
5 Pr 0.7567 0.7567 0.7514
6 Pr 0.9168 0.5898 0.2498
7 Sm 0.3338 0.6662 0.5000
8 Sm 0.6662 0.3338 0.5000
9 Dy 0.1674 0.8326 0.0000
10 Dy 0.5000 0.5000 0.0000
11 Dy 0.8326 0.1674 0.0000
12 Tl 0.0000 0.0000 0.5000


# 13
First-principles (PBE-GGA) data for crystalline GaIr3Pt at its relaxed geometry, as listed in the Alexandria database.

## Properties
D(E_F): 7.59 states/eV/cell
calculated density: 12.472 g/cm3
ΔH_f (0 K): 1.862 eV/atom
DFT total energy: -5.268 eV/atom

Cell: 4.8208 4.8208 4.8208 Å, 90.00 90.00 90.00°
Element x y z (fractional)
1 Ga 0.0000 0.0000 0.0000
2 Ir 0.0000 0.5000 0.5000
3 Ir 0.5000 0.0000 0.5000
4 Ir 0.5000 0.5000 0.0000
5 Pt 0.5000 0.5000 0.5000